Here is an optimized crystal structure of LiZnReSe2 from Alexandria. Energies are from PBE.

Cell and atoms, written as POSCAR:
```
LiZnReSe2
1.0
4.902 0.000 0.000
0.000 4.955 0.000
0.000 0.000 4.902
Re Zn Se Li
1 1 2 1
direct
0.000 0.000 0.000
0.000 0.500 0.000
0.000 0.000 0.500
0.500 0.000 0.000
0.500 0.500 0.500
```

V in Å³/cell: 119.1
Energy relative to the elements, uncorrected in meV/atom: 175
Symmetry: P4/mmm (123)